(1)
{
  "formula": "ScReMo2",
  "functional": "GGA-PBE",
  "state": "relaxed",
  "lattice_angstrom": [[-2.3795, -2.0528, -0.4069], [2.0500, -2.1624, -1.0786], [0.8790, -2.2404, 6.1622]],
  "species": ["Mo", "Sc", "Re", "Mo"],
  "fractional_positions": [[0.0000, 0.0000, 0.0190], [0.5000, 0.5000, 0.7479], [0.0000, 0.0000, 0.4796], [0.5000, 0.5000, 0.2535]],
  "formation_energy_mev_per_atom": 14,
  "dos_at_fermi_per_ev_cell": 3.7
}

(2)
{
  "formula": "ScReMo2",
  "functional": "GGA-PBE",
  "state": "relaxed",
  "lattice_angstrom": [[4.8384, -0.0018, -0.0034], [4.0729, 2.6118, -0.0034], [-0.1191, -0.0349, 5.2766]],
  "species": ["Mo", "Re", "Mo", "Sc"],
  "fractional_positions": [[0.2477, 0.2477, 0.2494], [0.4967, 0.4967, 0.4995], [0.0034, 0.0034, 0.0025], [0.7523, 0.7523, 0.7486]],
  "formation_energy_mev_per_atom": 259,
  "dos_at_fermi_per_ev_cell": 4.0
}

(3)
{
  "formula": "ScReMo2",
  "functional": "GGA-PBE",
  "state": "relaxed",
  "lattice_angstrom": [[2.7065, 0.0000, 0.0000], [0.0000, 4.6426, 0.0000], [0.0000, 0.0000, 5.3087]],
  "species": ["Mo", "Mo", "Sc", "Re"],
  "fractional_positions": [[0.0000, 0.0000, 0.4987], [0.0000, 0.0000, 0.0013], [0.5000, 0.5000, 0.7500], [0.5000, 0.5000, 0.2500]],
  "formation_energy_mev_per_atom": 242,
  "dos_at_fermi_per_ev_cell": 2.3
}